[1]
The following is a PBE calculation of a relaxed structure of AcY8Er2, from Alexandria.

Properties
ΔE_f   0.12 eV per atom
Total DFT energy (no corrections)   -5.7834 eV per atom
Fermi-level density of states   1.762 states/eV per atom
ΔE to the lowest computed polymorph   0 meV/atom
Mass density   5.6 g/cm³
Total magnetic moment   0.000 μB per atom

Lattice parameters (Å, degrees): 10.363 10.363 5.524 92.82 92.82 39.84
Atoms (fractional coordinates):
Ac1 0.000 0.000 0.000
Y1 0.132 0.594 0.270
Y2 0.191 0.191 0.236
Y3 0.406 0.868 0.730
Y4 0.452 0.452 0.761
Y5 0.548 0.548 0.239
Y6 0.594 0.132 0.270
Y7 0.809 0.809 0.764
Y8 0.868 0.406 0.730
Er1 0.285 0.285 0.754
Er2 0.715 0.715 0.246



[2]
The following is a PBE calculation of a relaxed structure of Ce3Nd2HoN6, from Alexandria.

Properties
Total DFT energy (no corrections)   -8.3208 eV per atom
Fermi-level density of states   0.640 states/eV per atom
Raw formation energy   -1.499 eV per atom
Mass density   8.2 g/cm³
Total magnetic moment   0.009 μB per atom

Lattice parameters (Å, degrees): 6.197 6.197 6.176 99.62 99.62 119.99
Atoms (fractional coordinates):
Ce1 0.000 0.000 0.000
Ce2 0.334 0.666 0.000
Ce3 0.666 0.334 0.000
Nd1 0.167 0.833 0.500
Nd2 0.833 0.167 0.500
Ho1 0.500 0.500 0.500
N1 0.092 0.414 0.241
N2 0.265 0.265 0.760
N3 0.414 0.092 0.241
N4 0.586 0.908 0.759
N5 0.735 0.735 0.240
N6 0.908 0.586 0.759



[3]
The following is a PBE calculation of a relaxed structure of Pr4Nd2Dy3, from Alexandria.

Properties
ΔE_f   0.06 eV per atom
Total DFT energy (no corrections)   -4.6617 eV per atom
Fermi-level density of states   1.881 states/eV per atom
ΔE to the lowest computed polymorph   5 meV/atom
Mass density   7.1 g/cm³
Total magnetic moment   0.000 μB per atom

Lattice parameters (Å, degrees): 3.651 3.651 27.266 90.00 90.00 120.00
Atoms (fractional coordinates):
Pr1 0.000 0.000 0.000
Pr2 0.000 0.000 0.213
Pr3 0.333 0.667 0.328
Pr4 0.333 0.667 0.543
Nd1 0.000 0.000 0.656
Nd2 0.000 0.000 0.868
Dy1 0.000 0.000 0.435
Dy2 0.333 0.667 0.105
Dy3 0.333 0.667 0.764



[4]
The following is a PBE calculation of a relaxed structure of Ta2BrO, from Alexandria.

Properties
Total DFT energy (no corrections)   -7.7574 eV per atom
Fermi-level density of states   0.562 states/eV per atom
Raw formation energy   -0.173 eV per atom
ΔE to the lowest computed polymorph   0 meV/atom
Mass density   10.7 g/cm³
Total magnetic moment   0.000 μB per atom

Lattice parameters (Å, degrees): 4.532 4.532 13.878 90.00 90.00 90.00
Atoms (fractional coordinates):
Ta1 0.163 0.250 0.125
Ta2 0.250 0.663 0.375
Ta3 0.250 0.837 0.875
Ta4 0.337 0.250 0.625
Ta5 0.663 0.750 0.625
Ta6 0.750 0.163 0.875
Ta7 0.750 0.337 0.375
Ta8 0.837 0.750 0.125
Br1 0.000 0.000 0.500
Br2 0.000 0.500 0.750
Br3 0.500 0.000 0.250
Br4 0.500 0.500 0.000
O1 0.000 0.000 0.000
O2 0.000 0.500 0.250
O3 0.500 0.000 0.750
O4 0.500 0.500 0.500



[5]
The following is a PBE calculation of a relaxed structure of CrCd2Ru, from Alexandria.

Properties
ΔE_f   0.50 eV per atom
Total DFT energy (no corrections)   -4.6797 eV per atom
Fermi-level density of states   0.916 states/eV per atom
ΔE to the lowest computed polymorph   342 meV/atom
Mass density   8.8 g/cm³
Total magnetic moment   1.288 μB per atom

Lattice parameters (Å, degrees): 2.940 2.940 8.208 90.00 90.00 90.00
Atoms (fractional coordinates):
Cr1 0.000 0.000 0.000
Cd1 0.500 0.500 0.254
Cd2 0.500 0.500 0.746
Ru1 0.000 0.000 0.500



[6]
The following is a PBE calculation of a relaxed structure of Cs3Li2TlF9, from Alexandria.

Properties
Total DFT energy (no corrections)   -4.0809 eV per atom
Fermi-level density of states   1.096 states/eV per atom
Raw formation energy   -2.375 eV per atom
Mass density   5.1 g/cm³
Total magnetic moment   0.080 μB per atom

Lattice parameters (Å, degrees): 6.226 6.226 7.697 90.00 90.00 120.00
Atoms (fractional coordinates):
Cs1 0.000 0.000 0.000
Cs2 0.333 0.667 0.678
Cs3 0.667 0.333 0.322
Li1 0.333 0.667 0.160
Li2 0.667 0.333 0.840
Tl1 0.000 0.000 0.500
F1 0.000 0.500 0.000
F2 0.167 0.334 0.333
F3 0.167 0.833 0.333
F4 0.334 0.167 0.667
F5 0.500 0.000 0.000
F6 0.500 0.500 0.000
F7 0.666 0.833 0.333
F8 0.833 0.167 0.667
F9 0.833 0.666 0.667



[7]
The following is a PBE calculation of a relaxed structure of AlNiOs, from Alexandria.

Properties
ΔE_f   -0.16 eV per atom
Total DFT energy (no corrections)   -7.0785 eV per atom
Fermi-level density of states   1.229 states/eV per atom
ΔE to the lowest computed polymorph   0 meV/atom
Mass density   11.9 g/cm³
Total magnetic moment   0.000 μB per atom

Lattice parameters (Å, degrees): 2.898 2.898 9.196 90.00 90.00 90.00
Atoms (fractional coordinates):
Al1 0.000 0.000 0.000
Al2 0.500 0.500 0.500
Ni1 0.000 0.000 0.350
Ni2 0.500 0.500 0.850
Os1 0.000 0.000 0.674
Os2 0.500 0.500 0.174



[8]
The following is a PBE calculation of a relaxed structure of GdCl3, from Alexandria.

Properties
Total DFT energy (no corrections)   -7.1456 eV per atom
Fermi-level density of states   0.000 states/eV per atom
Raw formation energy   -2.240 eV per atom
Mass density   4.3 g/cm³
Total magnetic moment   1.750 μB per atom

Lattice parameters (Å, degrees): 7.575 7.575 4.053 90.00 90.00 120.00
Atoms (fractional coordinates):
Gd1 0.333 0.667 0.250
Gd2 0.667 0.333 0.750
Cl1 0.093 0.395 0.750
Cl2 0.302 0.907 0.750
Cl3 0.395 0.302 0.250
Cl4 0.605 0.698 0.750
Cl5 0.698 0.093 0.250
Cl6 0.907 0.605 0.250



[9]
The following is a PBE calculation of a relaxed structure of LaMn2Br, from Alexandria.

Properties
Total DFT energy (no corrections)   -6.0379 eV per atom
Fermi-level density of states   1.326 states/eV per atom
Raw formation energy   0.197 eV per atom
ΔE to the lowest computed polymorph   273 meV/atom
Mass density   5.7 g/cm³
Total magnetic moment   2.038 μB per atom

Lattice parameters (Å, degrees): 4.201 4.201 10.907 90.00 90.00 90.00
Atoms (fractional coordinates):
La1 0.000 0.000 0.000
La2 0.500 0.500 0.500
Mn1 0.000 0.500 0.250
Mn2 0.000 0.500 0.750
Mn3 0.500 0.000 0.250
Mn4 0.500 0.000 0.750
Br1 0.000 0.000 0.500
Br2 0.500 0.500 0.000



[10]
The following is a PBE calculation of a relaxed structure of KMg2CdF8, from Alexandria.

Properties
Total DFT energy (no corrections)   -4.3829 eV per atom
Fermi-level density of states   1.095 states/eV per atom
Raw formation energy   -2.702 eV per atom
Mass density   3.3 g/cm³
Total magnetic moment   0.099 μB per atom

Lattice parameters (Å, degrees): 5.104 6.832 5.144 90.00 91.76 90.00
Atoms (fractional coordinates):
K1 0.000 0.000 0.000
Mg1 0.500 0.272 0.500
Mg2 0.500 0.728 0.500
Cd1 0.000 0.500 0.000
F1 0.233 0.279 0.217
F2 0.233 0.721 0.217
F3 0.310 0.500 0.674
F4 0.343 0.000 0.640
F5 0.657 0.000 0.360
F6 0.690 0.500 0.326
F7 0.767 0.279 0.783
F8 0.767 0.721 0.783



[11]
The following is a PBE calculation of a relaxed structure of Cs3HPd, from Alexandria.

Properties
Total DFT energy (no corrections)   -2.1968 eV per atom
Fermi-level density of states   0.000 states/eV per atom
ΔE to the lowest computed polymorph   0 meV/atom
Mass density   4.3 g/cm³
Total magnetic moment   0.000 μB per atom

Lattice parameters (Å, degrees): 5.815 5.815 5.815 90.00 90.00 90.00
Atoms (fractional coordinates):
Cs1 0.000 0.000 0.500
Cs2 0.000 0.500 0.000
Cs3 0.500 0.000 0.000
H1 0.000 0.000 0.000
Pd1 0.500 0.500 0.500



[12]
The following is a PBE calculation of a relaxed structure of PrDyCdAg, from Alexandria.

Properties
ΔE_f   -0.30 eV per atom
Total DFT energy (no corrections)   -3.5847 eV per atom
Fermi-level density of states   0.970 states/eV per atom
ΔE to the lowest computed polymorph   0 meV/atom
Mass density   8.2 g/cm³
Total magnetic moment   0.074 μB per atom

Lattice parameters (Å, degrees): 3.738 3.738 7.605 90.00 90.00 90.00
Atoms (fractional coordinates):
Pr1 0.000 0.000 0.000
Dy1 0.000 0.000 0.484
Cd1 0.500 0.500 0.728
Ag1 0.500 0.500 0.269



[13]
The following is a PBE calculation of a relaxed structure of Tb12Pm3Er, from Alexandria.

Properties
ΔE_f   0.02 eV per atom
Total DFT energy (no corrections)   -4.6315 eV per atom
Fermi-level density of states   1.375 states/eV per atom
Mass density   8.1 g/cm³
Total magnetic moment   0.000 μB per atom

Lattice parameters (Å, degrees): 5.054 5.054 20.206 90.00 90.00 90.00
Atoms (fractional coordinates):
Tb1 0.000 0.000 0.000
Tb2 0.000 0.000 0.248
Tb3 0.000 0.000 0.500
Tb4 0.000 0.000 0.752
Tb5 0.000 0.500 0.123
Tb6 0.000 0.500 0.374
Tb7 0.000 0.500 0.626
Tb8 0.000 0.500 0.877
Tb9 0.500 0.000 0.123
Tb10 0.500 0.000 0.374
Tb11 0.500 0.000 0.626
Tb12 0.500 0.000 0.877
Pm1 0.500 0.500 0.249
Pm2 0.500 0.500 0.500
Pm3 0.500 0.500 0.751
Er1 0.500 0.500 0.000



[14]
The following is a PBE calculation of a relaxed structure of Pm2TmSc2, from Alexandria.

Properties
ΔE_f   0.13 eV per atom
Total DFT energy (no corrections)   -5.1927 eV per atom
Fermi-level density of states   1.387 states/eV per atom
ΔE to the lowest computed polymorph   97 meV/atom
Mass density   6.1 g/cm³
Total magnetic moment   0.000 μB per atom

Lattice parameters (Å, degrees): 15.649 15.649 15.649 166.83 160.11 23.93
Atoms (fractional coordinates):
Pm1 0.276 0.026 0.250
Pm2 0.379 0.129 0.250
Pm3 0.621 0.871 0.750
Pm4 0.724 0.974 0.750
Tm1 0.165 0.415 0.750
Tm2 0.835 0.585 0.250
Sc1 0.047 0.797 0.250
Sc2 0.464 0.714 0.750
Sc3 0.536 0.286 0.250
Sc4 0.953 0.203 0.750



[15]
The following is a PBE calculation of a relaxed structure of NaCd5Ag2, from Alexandria.

Properties
ΔE_f   -0.02 eV per atom
Total DFT energy (no corrections)   -1.4715 eV per atom
Fermi-level density of states   0.343 states/eV per atom
ΔE to the lowest computed polymorph   0 meV/atom
Mass density   7.0 g/cm³
Total magnetic moment   0.000 μB per atom

Lattice parameters (Å, degrees): 4.491 8.575 9.878 90.00 90.00 90.00
Atoms (fractional coordinates):
Na1 0.000 0.000 0.000
Na2 0.500 0.500 0.500
Cd1 0.000 0.180 0.343
Cd2 0.000 0.180 0.657
Cd3 0.000 0.500 0.000
Cd4 0.000 0.820 0.343
Cd5 0.000 0.820 0.657
Cd6 0.500 0.000 0.500
Cd7 0.500 0.320 0.157
Cd8 0.500 0.320 0.843
Cd9 0.500 0.680 0.157
Cd10 0.500 0.680 0.843
Ag1 0.000 0.500 0.285
Ag2 0.000 0.500 0.715
Ag3 0.500 0.000 0.215
Ag4 0.500 0.000 0.785



[16]
The following is a PBE calculation of a relaxed structure of TlSn4Te5, from Alexandria.

Properties
Total DFT energy (no corrections)   -3.6762 eV per atom
Fermi-level density of states   0.317 states/eV per atom
Raw formation energy   -0.268 eV per atom
ΔE to the lowest computed polymorph   21 meV/atom
Mass density   6.6 g/cm³
Total magnetic moment   0.000 μB per atom

Lattice parameters (Å, degrees): 16.480 16.480 16.480 164.27 164.27 22.32
Atoms (fractional coordinates):
Tl1 0.000 0.000 0.000
Sn1 0.199 0.199 0.000
Sn2 0.400 0.400 0.000
Sn3 0.600 0.600 0.000
Sn4 0.801 0.801 0.000
Te1 0.103 0.103 0.000
Te2 0.301 0.301 0.000
Te3 0.500 0.500 0.000
Te4 0.699 0.699 0.000
Te5 0.897 0.897 0.000



[17]
The following is a PBE calculation of a relaxed structure of GdCd2Sb, from Alexandria.

Properties
Total DFT energy (no corrections)   -4.8117 eV per atom
Fermi-level density of states   0.759 states/eV per atom
Raw formation energy   0.197 eV per atom
ΔE to the lowest computed polymorph   690 meV/atom
Mass density   7.4 g/cm³
Total magnetic moment   1.840 μB per atom

Lattice parameters (Å, degrees): 3.350 3.350 34.717 90.00 90.00 120.00
Atoms (fractional coordinates):
Gd1 0.000 0.000 0.000
Gd2 0.333 0.667 0.667
Gd3 0.667 0.333 0.333
Cd1 0.000 0.000 0.090
Cd2 0.000 0.000 0.910
Cd3 0.333 0.667 0.577
Cd4 0.333 0.667 0.757
Cd5 0.667 0.333 0.243
Cd6 0.667 0.333 0.423
Sb1 0.000 0.000 0.500
Sb2 0.333 0.667 0.167
Sb3 0.667 0.333 0.833



[18]
The following is a PBE calculation of a relaxed structure of YPd2F8, from Alexandria.

Properties
Total DFT energy (no corrections)   -5.1003 eV per atom
Fermi-level density of states   0.257 states/eV per atom
Raw formation energy   -2.208 eV per atom
Mass density   4.4 g/cm³
Total magnetic moment   0.052 μB per atom

Lattice parameters (Å, degrees): 5.996 5.996 4.991 93.78 93.78 72.85
Atoms (fractional coordinates):
Y1 0.000 0.000 0.000
Pd1 0.382 0.382 0.746
Pd2 0.618 0.618 0.254
F1 0.106 0.668 0.755
F2 0.175 0.175 0.746
F3 0.332 0.894 0.245
F4 0.413 0.413 0.254
F5 0.587 0.587 0.746
F6 0.668 0.106 0.755
F7 0.825 0.825 0.254
F8 0.894 0.332 0.245



[19]
The following is a PBE calculation of a relaxed structure of LaMg2Au2, from Alexandria.

Properties
ΔE_f   -0.67 eV per atom
Total DFT energy (no corrections)   -3.5999 eV per atom
Fermi-level density of states   0.705 states/eV per atom
ΔE to the lowest computed polymorph   0 meV/atom
Mass density   8.3 g/cm³
Total magnetic moment   0.000 μB per atom

Lattice parameters (Å, degrees): 4.232 4.232 13.018 90.00 90.00 90.00
Atoms (fractional coordinates):
La1 0.000 0.000 0.000
La2 0.500 0.500 0.500
Mg1 0.000 0.500 0.250
Mg2 0.000 0.500 0.750
Mg3 0.500 0.000 0.250
Mg4 0.500 0.000 0.750
Au1 0.000 0.000 0.390
Au2 0.000 0.000 0.610
Au3 0.500 0.500 0.110
Au4 0.500 0.500 0.890



[20]
The following is a PBE calculation of a relaxed structure of CdGeCl3, from Alexandria.

Properties
Total DFT energy (no corrections)   -2.5278 eV per atom
Fermi-level density of states   0.488 states/eV per atom
Raw formation energy   -0.313 eV per atom
Mass density   3.5 g/cm³
Total magnetic moment   0.200 μB per atom

Lattice parameters (Å, degrees): 5.169 5.169 5.169 90.00 90.00 90.00
Atoms (fractional coordinates):
Cd1 0.000 0.000 0.000
Ge1 0.500 0.500 0.500
Cl1 0.000 0.000 0.500
Cl2 0.000 0.500 0.000
Cl3 0.500 0.000 0.000